# 1
A plane-wave DFT calculation with PBE was carried out for Er2TmPt2 after structural relaxation.

Symmetry ... P4/mbm
Formation energy from the elements ... -107.63 kJ per mole of atoms
E ... -0.45946 Ry/atom

Cell: 3.9676 7.6334 7.6334 Å, 90.00 90.00 90.00°
Atoms (fractional coordinates):
Pt 0.0000 0.1407 0.3593
Pt 0.0000 0.6407 0.1407
Pt 0.0000 0.8593 0.6407
Pt 0.0000 0.3593 0.8593
Tm 0.0000 0.0000 0.0000
Tm 0.0000 0.5000 0.5000
Er 0.5000 0.6608 0.8392
Er 0.5000 0.1608 0.6608
Er 0.5000 0.3392 0.1608
Er 0.5000 0.8392 0.3392

# 2
A plane-wave DFT calculation with PBE was carried out for ErTm2Pt3 after structural relaxation.

Symmetry ... Cmmm
Formation energy from the elements ... -123.47 kJ per mole of atoms
E ... -0.48150 Ry/atom

Cell: 3.4312 4.8988 14.6934 Å, 90.00 90.00 90.00°
Atoms (fractional coordinates):
Er 0.9999 0.5000 0.5000
Er 0.0001 0.0000 0.0000
Tm 0.0000 0.5000 0.1668
Tm 0.0000 0.5000 0.8332
Tm 0.0000 0.0000 0.3332
Tm 0.0000 0.0000 0.6668
Pt 0.5001 0.0000 0.8323
Pt 0.4997 0.0000 0.5000
Pt 0.5003 0.5000 0.0000
Pt 0.4999 0.5000 0.3323
Pt 0.4999 0.5000 0.6677
Pt 0.5001 0.0000 0.1677